VASP calculation (GGA-PBEsol) on TaTiOsPb2 after structural relaxation.

Cell lengths 5.1191, 5.1191, 4.4533 Å; angles 90.00, 90.00, 90.00 degrees
Last column: nearest neighbours and their distance in Å.
Positions (direct):
Ta1 0.0000 0.0000 0.0000  8 Pb 3.39, 4 Os 3.62
Ti1 0.5000 0.5000 0.5000  2 Os 2.23
Os1 0.5000 0.5000 0.0000  2 Ti 2.23
Pb1 0.0000 0.5000 0.5000  2 Ti 2.56
Pb2 0.5000 0.0000 0.5000  2 Ti 2.56

Properties
DFT formation energy ... 36.72 kcal/mol of atoms
Calculated total energy ... -33.12 eV per cell
M_tot ... 0.01 μB/cell
DOS(E_F) ... 5.6 states/eV/cell
Space group ... P4/mmm, No. 123

VASP calculation (GGA-PBEsol) on TcOs2Pb after structural relaxation.

Cell lengths 2.8278, 3.7829, 6.1116 Å; angles 90.00, 90.00, 90.00 degrees
Last column: nearest neighbours and their distance in Å.
Positions (direct):
Tc1 0.0000 0.0000 0.0000  8 Os 2.69, 2 Tc 2.83
Os1 0.5000 0.5000 0.2110  3 Os 2.58-2.83, 4 Tc 2.69
Os2 0.5000 0.5000 0.7890  3 Os 2.58-2.83, 4 Tc 2.69
Pb1 0.0000 0.0000 0.5000  2 Pb 2.83, 8 Os 2.95, 2 Tc 3.06

Properties
DFT formation energy ... 16.94 kcal/mol of atoms
Calculated total energy ... -36.76 eV per cell
M_tot ... 0.00 μB/cell
DOS(E_F) ... 4.1 states/eV/cell
Space group ... Pmmm, No. 47

VASP calculation (GGA-PBEsol) on TcOs2Pb after structural relaxation.

Cell lengths 4.9015, 4.9015, 4.9015 Å; angles 132.37, 132.37, 69.65 degrees
Last column: nearest neighbours and their distance in Å.
Positions (direct):
Tc1 0.0000 0.0000 0.0000  8 Os 2.80-2.82, 4 Pb 2.82
Os1 0.5000 0.5000 0.0000  4 Tc 2.80, 4 Pb 2.82, 4 Os 2.82
Os2 0.7500 0.2500 0.5000  4 Pb 2.80, 4 Tc 2.82, 4 Os 2.82
Pb1 0.2500 0.7500 0.5000  8 Os 2.80-2.82, 4 Tc 2.82

Properties
DFT formation energy ... 19.05 kcal/mol of atoms
Calculated total energy ... -36.39 eV per cell
M_tot ... 0.00 μB/cell
DOS(E_F) ... 5.2 states/eV/cell
Space group ... I-4m2, No. 119

VASP calculation (GGA-PBEsol) on TcOs2Pb after structural relaxation.

Cell lengths 9.3962, 9.3962, 9.3962 Å; angles 17.50, 17.50, 17.50 degrees
Last column: nearest neighbours and their distance in Å.
Positions (direct):
Tc1 0.0000 0.0000 0.0000  6 Os 2.64, 6 Tc 2.86
Os1 0.2592 0.2592 0.2592  3 Tc 2.64, 6 Os 2.86
Os2 0.7408 0.7408 0.7408  3 Tc 2.64, 6 Os 2.86
Pb1 0.5000 0.5000 0.5000  6 Pb 2.86, 6 Os 3.05

Properties
DFT formation energy ... 15.65 kcal/mol of atoms
Calculated total energy ... -36.98 eV per cell
M_tot ... 0.00 μB/cell
DOS(E_F) ... 3.0 states/eV/cell
Space group ... R-3m, No. 166

VASP calculation (GGA-PBEsol) on Te2OsPb after structural relaxation.

Cell lengths 5.1597, 5.1597, 3.3710 Å; angles 90.00, 90.00, 90.00 degrees
Last column: nearest neighbours and their distance in Å.
Positions (direct):
Te1 0.0000 0.5000 0.0000  4 Pb 3.08, 4 Os 3.08, 2 Te 3.37
Te2 0.5000 0.0000 0.0000  4 Pb 3.08, 4 Os 3.08, 2 Te 3.37
Os1 0.0000 0.0000 0.5000  8 Te 3.08, 2 Os 3.37
Pb1 0.5000 0.5000 0.5000  8 Te 3.08, 2 Pb 3.37

Properties
Calculated total energy ... -20.15 eV per cell
M_tot ... 0.00 μB/cell
DOS(E_F) ... 2.9 states/eV/cell
Space group ... P4/mmm, No. 123

VASP calculation (GGA-PBEsol) on Tl2OsPb after structural relaxation.

Cell lengths 3.2393, 3.2393, 8.9102 Å; angles 90.00, 90.00, 90.00 degrees
Last column: nearest neighbours and their distance in Å.
Positions (direct):
Tl1 0.0000 0.0000 0.0000  8 Tl 3.24-3.46
Tl2 0.5000 0.5000 0.2917  4 Os 2.89
Os1 0.0000 0.0000 0.4886  4 Pb 2.86, 4 Tl 2.89
Pb1 0.5000 0.5000 0.6803  4 Os 2.86

Properties
DFT formation energy ... 12.71 kcal/mol of atoms
Calculated total energy ... -19.27 eV per cell
M_tot ... 0.00 μB/cell
DOS(E_F) ... 2.6 states/eV/cell
Space group ... P4mm, No. 99

VASP calculation (GGA-PBEsol) on OsPbW2 after structural relaxation.

Cell lengths 2.8692, 3.9682, 6.3615 Å; angles 90.00, 98.78, 90.00 degrees
Last column: nearest neighbours and their distance in Å.
Positions (direct):
Os1 0.0000 0.0000 0.0000  5 W 2.52-2.72
Pb1 0.3094 0.5000 0.3258  2 Pb 2.87, 2 Os 2.91, 6 W 2.97-3.21
W1 0.4068 0.5000 0.8354  4 Os 2.60-2.72, 4 W 2.78-2.87
W2 0.8854 0.0000 0.5996  1 Os 2.52, 2 W 2.78

Properties
DFT formation energy ... 16.63 kcal/mol of atoms
Calculated total energy ... -40.94 eV per cell
M_tot ... 0.00 μB/cell
DOS(E_F) ... 2.4 states/eV/cell
Space group ... Pm, No. 6

VASP calculation (GGA-PBEsol) on OsPbW2 after structural relaxation.

Cell lengths 5.2101, 5.2101, 5.2101 Å; angles 136.41, 136.41, 63.35 degrees
Last column: nearest neighbours and their distance in Å.
Positions (direct):
Os1 0.0000 0.0000 0.0000  4 Pb 2.74, 8 W 2.94
Pb1 0.5000 0.5000 0.0000  4 Os 2.74, 8 W 2.94
W1 0.2500 0.7500 0.5000  4 W 2.74, 4 Os 2.94, 4 Pb 2.94
W2 0.7500 0.2500 0.5000  4 W 2.74, 4 Os 2.94, 4 Pb 2.94

Properties
DFT formation energy ... 19.02 kcal/mol of atoms
Calculated total energy ... -40.53 eV per cell
M_tot ... 0.00 μB/cell
DOS(E_F) ... 2.7 states/eV/cell
Space group ... I4/mmm, No. 139

VASP calculation (GGA-PBEsol) on Os2PbW after structural relaxation.

Cell lengths 2.8834, 4.0513, 5.7099 Å; angles 90.00, 90.00, 90.00 degrees
Last column: nearest neighbours and their distance in Å.
Positions (direct):
Os1 0.0000 0.0000 0.0000  4 W 2.70, 2 Pb 2.84-2.87, 6 Os 2.87-2.88
Os2 0.5000 0.5000 0.2504  1 W 2.49
Pb1 0.0000 0.0000 0.5033  6 Os 2.84-2.88, 2 Pb 2.88, 4 W 3.06
W1 0.5000 0.5000 0.8150  5 Os 2.49-2.70

Properties
DFT formation energy ... 18.98 kcal/mol of atoms
Calculated total energy ... -38.95 eV per cell
M_tot ... 0.00 μB/cell
DOS(E_F) ... 4.1 states/eV/cell
Space group ... Pmm2, No. 25

VASP calculation (GGA-PBEsol) on OsPbW2 after structural relaxation.

Cell lengths 9.6425, 9.6425, 9.6425 Å; angles 17.35, 17.35, 17.35 degrees
Last column: nearest neighbours and their distance in Å.
Positions (direct):
Os1 0.0000 0.0000 0.0000  3 W 2.62, 6 Os 2.91
Pb1 0.7575 0.7575 0.7575  6 Pb 2.91, 3 Os 3.08, 3 W 3.09
W1 0.2626 0.2626 0.2626  3 Os 2.62, 9 W 2.85-2.91
W2 0.5153 0.5153 0.5153  9 W 2.85-2.91, 3 Pb 3.09

Properties
DFT formation energy ... 16.30 kcal/mol of atoms
Calculated total energy ... -41.00 eV per cell
M_tot ... 0.00 μB/cell
DOS(E_F) ... 2.0 states/eV/cell
Space group ... R3m, No. 160

VASP calculation (GGA-PBEsol) on Os3PbW after structural relaxation.

Cell lengths 4.7304, 4.7304, 4.7304 Å; angles 90.00, 90.00, 90.00 degrees
Last column: nearest neighbours and their distance in Å.
Positions (direct):
Os1 0.0000 0.0000 0.5000  2 W 2.37
Os2 0.0000 0.5000 0.0000  2 W 2.37
Os3 0.5000 0.0000 0.0000  2 W 2.37
Pb1 0.5000 0.5000 0.5000  12 Os 3.34
W1 0.0000 0.0000 0.0000  6 Os 2.37

Properties
DFT formation energy ... 49.54 kcal/mol of atoms
Calculated total energy ... -43.71 eV per cell
M_tot ... 0.00 μB/cell
DOS(E_F) ... 7.5 states/eV/cell
Space group ... Pm-3m, No. 221

VASP calculation (GGA-PBEsol) on Os2PbW after structural relaxation.

Cell lengths 4.5282, 4.5282, 4.5282 Å; angles 60.00, 60.00, 60.00 degrees
Last column: nearest neighbours and their distance in Å.
Positions (direct):
Os1 0.2500 0.2500 0.2500  4 W 2.77, 4 Pb 2.77
Os2 0.7500 0.7500 0.7500  4 W 2.77, 4 Pb 2.77
Pb1 0.0000 0.0000 0.0000  8 Os 2.77
W1 0.5000 0.5000 0.5000  8 Os 2.77

Properties
DFT formation energy ... 22.19 kcal/mol of atoms
Calculated total energy ... -38.39 eV per cell
M_tot ... 0.00 μB/cell
DOS(E_F) ... 4.6 states/eV/cell
Space group ... Fm-3m, No. 225

VASP calculation (GGA-PBEsol) on ZnOsPb3 after structural relaxation.

Cell lengths 5.2239, 5.2239, 5.2239 Å; angles 90.00, 90.00, 90.00 degrees
Last column: nearest neighbours and their distance in Å.
Positions (direct):
Zn1 0.0000 0.0000 0.0000  12 Pb 3.69
Os1 0.5000 0.5000 0.5000  6 Pb 2.61
Pb1 0.0000 0.5000 0.5000  2 Os 2.61
Pb2 0.5000 0.0000 0.5000  2 Os 2.61
Pb3 0.5000 0.5000 0.0000  2 Os 2.61

Properties
DFT formation energy ... 15.07 kcal/mol of atoms
Calculated total energy ... -22.53 eV per cell
M_tot ... 0.00 μB/cell
DOS(E_F) ... 4.8 states/eV/cell
Space group ... Pm-3m, No. 221

VASP calculation (GGA-PBEsol) on ZnOsPb after structural relaxation.

Cell lengths 3.0482, 3.0482, 6.7852 Å; angles 90.00, 90.00, 120.00 degrees
Last column: nearest neighbours and their distance in Å.
Positions (direct):
Zn1 0.0000 0.0000 0.0000  3 Os 2.57
Os1 0.3333 0.6667 0.7232  3 Zn 2.57, 3 Pb 2.87
Pb1 0.6667 0.3333 0.3893  3 Os 2.87, 6 Pb 3.05, 3 Zn 3.17

Properties
DFT formation energy ... 16.08 kcal/mol of atoms
Calculated total energy ... -15.70 eV per cell
M_tot ... 0.00 μB/cell
DOS(E_F) ... 2.3 states/eV/cell
Space group ... P3m1, No. 156